1) ## BaLi2Ac (GGA-PBE)

Data for a relaxed BaLi2Ac crystal.

Cell lengths 4.1551, 4.1551, 8.7213 Å; angles 90.00, 90.00, 90.00 degrees
Positions (direct):
Ac  0.5000  0.5000  0.0000
Li  0.0000  0.0000  0.7728
Ba  0.5000  0.5000  0.5000
Li  0.0000  0.0000  0.2272

Values from the calculation:
Space group ... P4/mmm, No. 123
Theoretical density ... 4.17 g cm⁻³

---

2) ## BaLi2Ac (GGA-PBE)

Data for a relaxed BaLi2Ac crystal.

Cell lengths 5.9768, 5.9768, 5.9768 Å; angles 60.00, 60.00, 60.00 degrees
Positions (direct):
Li  0.2500  0.2500  0.2500
Li  0.7500  0.7500  0.7500
Ba  0.5000  0.5000  0.5000
Ac  0.0000  0.0000  0.0000

Values from the calculation:
Space group ... Fm-3m, No. 225
Theoretical density ... 4.16 g cm⁻³

---

The most stable arrangement is 1), and the next structure is 0.031 eV/atom less stable.

---

1) ## BaLiAc (GGA-PBE)

Data for a relaxed BaLiAc crystal.

Cell lengths 4.1488, 4.1488, 7.8719 Å; angles 105.28, 105.28, 90.00 degrees
Positions (direct):
Ac  0.3073  0.3073  0.6146
Li  0.6740  0.6740  0.3480
Ba  0.0187  0.0187  0.0375

Values from the calculation:
Space group ... I4mm, No. 107
Theoretical density ... 4.90 g cm⁻³

---

2) ## BaLiAc (GGA-PBE)

Data for a relaxed BaLiAc crystal.

Cell lengths 3.9466, 6.0763, 6.0763 Å; angles 120.00, 90.00, 90.00 degrees
Positions (direct):
Li  0.9701  0.0000  0.0000
Ac  0.3084  0.6667  0.3333
Ba  0.7216  0.3333  0.6667

Values from the calculation:
Space group ... P3m1, No. 156
Theoretical density ... 4.89 g cm⁻³

---

The most stable arrangement is 1), and the next structure is 0.087 eV/atom less stable.

---

1) ## Ba2LiAc (GGA-PBE)

Data for a relaxed Ba2LiAc crystal.

Cell lengths 4.3574, 6.6739, 6.6739 Å; angles 90.00, 90.00, 90.00 degrees
Positions (direct):
Li  0.5000  0.5000  0.5000
Ac  0.5000  0.0000  0.0000
Ba  0.0000  0.5000  0.0000
Ba  0.0000  0.0000  0.5000

Values from the calculation:
Space group ... P4/mmm, No. 123
Theoretical density ... 4.35 g cm⁻³

---

2) ## Ba2LiAc (GGA-PBE)

Data for a relaxed Ba2LiAc crystal.

Cell lengths 4.0053, 4.0053, 13.9963 Å; angles 81.77, 81.77, 60.00 degrees
Positions (direct):
Ac  0.0000  0.0000  0.0000
Ba  0.9053  0.9053  0.2842
Li  0.5000  0.5000  0.5000
Ba  0.0947  0.0947  0.7158

Values from the calculation:
Space group ... R-3m, No. 166
Theoretical density ... 4.40 g cm⁻³

---

3) ## Ba2LiAc (GGA-PBE)

Data for a relaxed Ba2LiAc crystal.

Cell lengths 6.5189, 6.5189, 6.5189 Å; angles 60.00, 60.00, 60.00 degrees
Positions (direct):
Li  0.0000  0.0000  0.0000
Ba  0.7500  0.7500  0.7500
Ac  0.5000  0.5000  0.5000
Ba  0.2500  0.2500  0.2500

Values from the calculation:
Space group ... Fm-3m, No. 225
Theoretical density ... 4.31 g cm⁻³

---

4) ## Ba2LiAc (GGA-PBE)

Data for a relaxed Ba2LiAc crystal.

Cell lengths 4.2103, 4.2103, 10.5394 Å; angles 90.00, 90.00, 90.00 degrees
Positions (direct):
Li  0.5000  0.5000  0.0000
Ba  0.0000  0.0000  0.7841
Ac  0.5000  0.5000  0.5000
Ba  0.0000  0.0000  0.2159

Values from the calculation:
Space group ... P4/mmm, No. 123
Theoretical density ... 4.52 g cm⁻³

---

The most stable arrangement is 4), and the next structure is 0.060 eV/atom less stable.

---

1) ## Ba2AcMg (GGA-PBE)

Data for a relaxed Ba2AcMg crystal.

Cell lengths 4.1631, 4.1631, 12.9375 Å; angles 80.78, 80.78, 60.02 degrees
Positions (direct):
Ba  0.0762  0.0762  0.7701
Ba  0.2566  0.2566  0.2298
Ac  0.5002  0.5002  0.5005
Mg  0.6670  0.6670  0.9996

Values from the calculation:
Space group ... Cm, No. 8
Theoretical density ... 4.58 g cm⁻³

---

2) ## Ba2AcMg (GGA-PBE)

Data for a relaxed Ba2AcMg crystal.

Cell lengths 3.9991, 3.9991, 13.9626 Å; angles 81.77, 81.77, 60.00 degrees
Positions (direct):
Ac  0.0000  0.0000  0.0000
Ba  0.9044  0.9044  0.2869
Ba  0.0956  0.0956  0.7131
Mg  0.5000  0.5000  0.5000

Values from the calculation:
Space group ... R-3m, No. 166
Theoretical density ... 4.58 g cm⁻³

---

3) ## Ba2AcMg (GGA-PBE)

Data for a relaxed Ba2AcMg crystal.

Cell lengths 6.4078, 6.4078, 6.4078 Å; angles 60.00, 60.00, 60.00 degrees
Positions (direct):
Ba  0.2500  0.2500  0.2500
Mg  0.0000  0.0000  0.0000
Ac  0.5000  0.5000  0.5000
Ba  0.7500  0.7500  0.7500

Values from the calculation:
Space group ... Fm-3m, No. 225
Theoretical density ... 4.69 g cm⁻³

---

The most stable arrangement is 1), and the next structure is 0.032 eV/atom less stable.

---

1) ## BaAc2Mg (GGA-PBE)

Data for a relaxed BaAc2Mg crystal.

Cell lengths 5.5651, 5.5144, 5.5144 Å; angles 90.00, 90.00, 90.00 degrees
Positions (direct):
Ba  0.5000  0.5000  0.5000
Mg  0.5000  0.0000  0.0000
Ac  0.0000  0.5000  0.0000
Ac  0.0000  0.0000  0.5000

Values from the calculation:
Space group ... P4/mmm, No. 123
Theoretical density ... 6.04 g cm⁻³

---

2) ## BaAc2Mg (GGA-PBE)

Data for a relaxed BaAc2Mg crystal.

Cell lengths 4.1467, 4.1467, 10.2252 Å; angles 90.00, 90.00, 90.00 degrees
Positions (direct):
Ba  0.5000  0.5000  0.5000
Ac  0.0000  0.0000  0.8051
Ac  0.0000  0.0000  0.1949
Mg  0.5000  0.5000  0.0000

Values from the calculation:
Space group ... P4/mmm, No. 123
Theoretical density ... 5.81 g cm⁻³

---

The most stable arrangement is 2), and the next structure is 0.103 eV/atom less stable.

---

1) ## BaAc2Mg (GGA-PBE)

Data for a relaxed BaAc2Mg crystal.

Cell lengths 3.9188, 3.9188, 13.5481 Å; angles 81.68, 81.68, 60.00 degrees
Positions (direct):
Ac  0.0983  0.0983  0.7052
Ac  0.9017  0.9017  0.2948
Mg  0.5000  0.5000  0.5000
Ba  0.0000  0.0000  0.0000

Values from the calculation:
Space group ... R-3m, No. 166
Theoretical density ... 5.75 g cm⁻³

---

2) ## BaAc2Mg (GGA-PBE)

Data for a relaxed BaAc2Mg crystal.

Cell lengths 6.1836, 6.1836, 6.1836 Å; angles 60.00, 60.00, 60.00 degrees
Positions (direct):
Ac  0.7500  0.7500  0.7500
Mg  0.5000  0.5000  0.5000
Ac  0.2500  0.2500  0.2500
Ba  0.0000  0.0000  0.0000

Values from the calculation:
Space group ... Fm-3m, No. 225
Theoretical density ... 6.11 g cm⁻³

---

The most stable arrangement is 2), and the next structure is 0.065 eV/atom less stable.